Here is crystalline ScMoNO2 at its relaxed geometry from Alexandria. Energies are from PBE+U.

```
ScMoNO2
1.0
3.997 0.000 0.000
0.000 3.997 0.000
0.000 0.000 4.223
Mo N O Sc
1 1 2 1
direct
0.500 0.500 0.500
0.000 0.000 0.500
0.000 0.500 0.000
0.500 0.000 0.000
0.000 0.000 0.000
```

Summary:
* total energy: -0.2569 hartree per atom